1.
# TaTi2NbH | Alexandria | GGA-PBE | optimized geometry
data_TaTi2NbH
_chemical_formula_sum 'Ta1 Ti2 Nb1 H1'
_cell_length_a 3.9669
_cell_length_b 3.9669
_cell_length_c 4.6277
_cell_angle_alpha 90.00
_cell_angle_beta 90.00
_cell_angle_gamma 90.00
_symmetry_space_group_name_H-M 'P 4/m m m'
_symmetry_Int_Tables_number 123
_symmetry_space_group_name_Hall '-P 4 2'
loop_
_atom_site_label
_atom_site_type_symbol
_atom_site_fract_x
_atom_site_fract_y
_atom_site_fract_z
_atom_site_occupancy
Ta1 Ta 0.0000 0.0000 0.0000 1
Ti1 Ti 0.0000 0.5000 0.5000 1
Nb1 Nb 0.5000 0.5000 0.0000 1
H1 H 0.5000 0.5000 0.5000 1
# - Uncorrected energy: -8.252 eV/atom
# - V: 72.82 Å³/cell
# - ρ: 8.45 Mg/m³
# - N(E_F): 1.27 states/eV/atom
# - E above lowest polymorph: 0.0 meV/atom

2.
# AgPd | Alexandria | GGA-PBE | optimized geometry
data_AgPd
_chemical_formula_sum 'Ag8 Pd8'
_cell_length_a 8.6069
_cell_length_b 8.6069
_cell_length_c 3.8692
_cell_angle_alpha 90.00
_cell_angle_beta 90.00
_cell_angle_gamma 90.00
_symmetry_space_group_name_H-M 'I 4/m m m'
_symmetry_Int_Tables_number 139
_symmetry_space_group_name_Hall '-I 4 2'
loop_
_atom_site_label
_atom_site_type_symbol
_atom_site_fract_x
_atom_site_fract_y
_atom_site_fract_z
_atom_site_occupancy
Ag1 Ag 0.1630 0.1630 0.0000 1
Pd1 Pd 0.0000 0.3364 0.5000 1
# - Uncorrected energy: -3.931 eV/atom
# - V: 286.62 Å³/cell
# - ρ: 9.93 Mg/m³
# - Energy of formation: 0.2 eV/f.u.
# - N(E_F): 0.65 states/eV/atom

3.
# Ce3Dy5Sb8 | Alexandria | GGA-PBE | optimized geometry
data_Ce3Dy5Sb8
_chemical_formula_sum 'Ce9 Dy15 Sb24'
_cell_length_a 8.8555
_cell_length_b 8.8555
_cell_length_c 21.6717
_cell_angle_alpha 90.00
_cell_angle_beta 90.00
_cell_angle_gamma 120.00
_symmetry_space_group_name_H-M 'R -3 m'
_symmetry_Int_Tables_number 166
_symmetry_space_group_name_Hall '-R 3 2"'
loop_
_atom_site_label
_atom_site_type_symbol
_atom_site_fract_x
_atom_site_fract_y
_atom_site_fract_z
_atom_site_occupancy
Ce1 Ce 0.0000 0.5000 0.0000 1
Dy1 Dy 0.0000 0.0000 0.0000 1
Dy2 Dy 0.0000 0.0000 0.5000 1
Dy3 Dy 0.0000 0.5000 0.5000 1
Sb1 Sb 0.0000 0.0000 0.2478 1
Sb2 Sb 0.0025 0.5013 0.7513 1
# - Uncorrected energy: -5.711 eV/atom
# - V: 1471.81 Å³/cell
# - ρ: 7.47 Mg/m³
# - N(E_F): 1.36 states/eV/atom
# - Formation energy from raw total energies: -1099 meV per atom

4.
# Er2InTe | Alexandria | GGA-PBE | optimized geometry
data_Er2InTe
_chemical_formula_sum 'Er2 In1 Te1'
_cell_length_a 3.6419
_cell_length_b 3.6419
_cell_length_c 8.0689
_cell_angle_alpha 90.00
_cell_angle_beta 90.00
_cell_angle_gamma 90.00
_symmetry_space_group_name_H-M 'P 4/m m m'
_symmetry_Int_Tables_number 123
_symmetry_space_group_name_Hall '-P 4 2'
loop_
_atom_site_label
_atom_site_type_symbol
_atom_site_fract_x
_atom_site_fract_y
_atom_site_fract_z
_atom_site_occupancy
Er1 Er 0.0000 0.0000 0.2397 1
In1 In 0.5000 0.5000 0.5000 1
Te1 Te 0.5000 0.5000 0.0000 1
# - Uncorrected energy: -4.444 eV/atom
# - V: 107.02 Å³/cell
# - ρ: 8.95 Mg/m³
# - N(E_F): 0.78 states/eV/atom
# - Formation energy from raw total energies: -693 meV per atom
# - E above lowest polymorph: 176.6 meV/atom

5.
# NaTi2Cu | Alexandria | GGA-PBE | optimized geometry
data_NaTi2Cu
_chemical_formula_sum 'Na4 Ti8 Cu4'
_cell_length_a 6.4839
_cell_length_b 6.4839
_cell_length_c 6.4839
_cell_angle_alpha 90.00
_cell_angle_beta 90.00
_cell_angle_gamma 90.00
_symmetry_space_group_name_H-M 'F m -3 m'
_symmetry_Int_Tables_number 225
_symmetry_space_group_name_Hall '-F 4 2 3'
loop_
_atom_site_label
_atom_site_type_symbol
_atom_site_fract_x
_atom_site_fract_y
_atom_site_fract_z
_atom_site_occupancy
Na1 Na 0.0000 0.0000 0.0000 1
Ti1 Ti 0.2500 0.2500 0.2500 1
Cu1 Cu 0.0000 0.0000 0.5000 1
# - Uncorrected energy: -4.707 eV/atom
# - V: 272.59 Å³/cell
# - ρ: 4.44 Mg/m³
# - Energy of formation: 2.4 eV/f.u.
# - N(E_F): 0.43 states/eV/atom
# - E above lowest polymorph: 0.0 meV/atom

6.
# Ca3Se | Alexandria | GGA-PBE | optimized geometry
data_Ca3Se
_chemical_formula_sum 'Ca6 Se2'
_cell_length_a 3.8289
_cell_length_b 5.7000
_cell_length_c 12.0811
_cell_angle_alpha 90.00
_cell_angle_beta 90.00
_cell_angle_gamma 90.00
_symmetry_space_group_name_H-M 'I m m m'
_symmetry_Int_Tables_number 71
_symmetry_space_group_name_Hall '-I 2 2'
loop_
_atom_site_label
_atom_site_type_symbol
_atom_site_fract_x
_atom_site_fract_y
_atom_site_fract_z
_atom_site_occupancy
Ca1 Ca 0.0000 0.0000 0.0000 1
Ca2 Ca 0.0000 0.5000 0.1891 1
Se1 Se 0.0000 0.0000 0.5000 1
# - Uncorrected energy: -3.168 eV/atom
# - V: 263.67 Å³/cell
# - ρ: 2.51 Mg/m³
# - N(E_F): 0.25 states/eV/atom
# - Formation energy from raw total energies: -796 meV per atom
# - E above lowest polymorph: 111.7 meV/atom

7.
# GdTiAlZn | Alexandria | GGA-PBE | optimized geometry
data_GdTiAlZn
_chemical_formula_sum 'Gd4 Ti4 Al4 Zn4'
_cell_length_a 6.7963
_cell_length_b 6.7963
_cell_length_c 6.7963
_cell_angle_alpha 90.00
_cell_angle_beta 90.00
_cell_angle_gamma 90.00
_symmetry_space_group_name_H-M 'F -4 3 m'
_symmetry_Int_Tables_number 216
_symmetry_space_group_name_Hall 'F -4 2 3'
loop_
_atom_site_label
_atom_site_type_symbol
_atom_site_fract_x
_atom_site_fract_y
_atom_site_fract_z
_atom_site_occupancy
Gd1 Gd 0.0000 0.0000 0.0000 1
Ti1 Ti 0.0000 0.0000 0.5000 1
Al1 Al 0.2500 0.2500 0.2500 1
Zn1 Zn 0.2500 0.2500 0.7500 1
# - Uncorrected energy: -6.942 eV/atom
# - V: 313.92 Å³/cell
# - ρ: 6.29 Mg/m³
# - Energy of formation: -0.8 eV/f.u.
# - N(E_F): 0.51 states/eV/atom

8.
# RbHg2As | Alexandria | GGA-PBE | optimized geometry
data_RbHg2As
_chemical_formula_sum 'Rb3 Hg6 As3'
_cell_length_a 4.9449
_cell_length_b 4.9449
_cell_length_c 18.7226
_cell_angle_alpha 90.00
_cell_angle_beta 90.00
_cell_angle_gamma 120.00
_symmetry_space_group_name_H-M 'R -3 m'
_symmetry_Int_Tables_number 166
_symmetry_space_group_name_Hall '-R 3 2"'
loop_
_atom_site_label
_atom_site_type_symbol
_atom_site_fract_x
_atom_site_fract_y
_atom_site_fract_z
_atom_site_occupancy
Rb1 Rb 0.0000 0.0000 0.0000 1
Hg1 Hg 0.0000 0.0000 0.2105 1
As1 As 0.0000 0.0000 0.5000 1
# - Uncorrected energy: -1.674 eV/atom
# - V: 396.48 Å³/cell
# - ρ: 7.06 Mg/m³
# - Energy of formation: -0.5 eV/f.u.
# - N(E_F): 0.18 states/eV/atom

9.
# MoAs2Se | Alexandria | GGA-PBE | optimized geometry
data_MoAs2Se
_chemical_formula_sum 'Mo2 As4 Se2'
_cell_length_a 5.6163
_cell_length_b 7.7121
_cell_length_c 3.2238
_cell_angle_alpha 90.00
_cell_angle_beta 90.00
_cell_angle_gamma 90.00
_symmetry_space_group_name_H-M 'C m m m'
_symmetry_Int_Tables_number 65
_symmetry_space_group_name_Hall '-C 2 2'
loop_
_atom_site_label
_atom_site_type_symbol
_atom_site_fract_x
_atom_site_fract_y
_atom_site_fract_z
_atom_site_occupancy
Mo1 Mo 0.0000 0.0000 0.0000 1
As1 As 0.2500 0.2500 0.5000 1
Se1 Se 0.0000 0.5000 0.0000 1
# - Uncorrected energy: -5.414 eV/atom
# - V: 139.64 Å³/cell
# - ρ: 7.72 Mg/m³
# - N(E_F): 0.94 states/eV/atom
# - Formation energy from raw total energies: 490 meV per atom

10.
# YCuTeS | Alexandria | GGA-PBE | optimized geometry
data_YCuTeS
_chemical_formula_sum 'Y6 Cu6 Te6 S6'
_cell_length_a 4.4146
_cell_length_b 4.4146
_cell_length_c 34.0656
_cell_angle_alpha 90.00
_cell_angle_beta 90.00
_cell_angle_gamma 120.00
_symmetry_space_group_name_H-M 'R -3 m'
_symmetry_Int_Tables_number 166
_symmetry_space_group_name_Hall '-R 3 2"'
loop_
_atom_site_label
_atom_site_type_symbol
_atom_site_fract_x
_atom_site_fract_y
_atom_site_fract_z
_atom_site_occupancy
Y1 Y 0.0000 0.0000 0.1130 1
Cu1 Cu 0.0000 0.0000 0.3070 1
Te1 Te 0.0000 0.0000 0.3849 1
S1 S 0.0000 0.0000 0.1966 1
# - Uncorrected energy: -5.575 eV/atom
# - V: 574.95 Å³/cell
# - ρ: 5.41 Mg/m³
# - Formation energy from raw total energies: -1118 meV per atom

11.
# ZnGaIr | Alexandria | GGA-PBE | optimized geometry
data_ZnGaIr
_chemical_formula_sum 'Zn4 Ga4 Ir4'
_cell_length_a 3.0920
_cell_length_b 3.0920
_cell_length_c 20.2230
_cell_angle_alpha 90.00
_cell_angle_beta 90.00
_cell_angle_gamma 90.00
_symmetry_space_group_name_H-M 'I 4/m m m'
_symmetry_Int_Tables_number 139
_symmetry_space_group_name_Hall '-I 4 2'
loop_
_atom_site_label
_atom_site_type_symbol
_atom_site_fract_x
_atom_site_fract_y
_atom_site_fract_z
_atom_site_occupancy
Zn1 Zn 0.0000 0.0000 0.0627 1
Ga1 Ga 0.0000 0.0000 0.2091 1
Ir1 Ir 0.0000 0.0000 0.3552 1
# - Uncorrected energy: -4.501 eV/atom
# - V: 193.35 Å³/cell
# - ρ: 11.25 Mg/m³
# - Energy of formation: -0.3 eV/f.u.
# - N(E_F): 0.48 states/eV/atom

12.
# Mn4Ir | Alexandria | GGA-PBE | optimized geometry
data_Mn4Ir
_chemical_formula_sum 'Mn8 Ir2'
_cell_length_a 3.6034
_cell_length_b 3.6034
_cell_length_c 9.6242
_cell_angle_alpha 90.00
_cell_angle_beta 90.00
_cell_angle_gamma 90.00
_symmetry_space_group_name_H-M 'I 4/m m m'
_symmetry_Int_Tables_number 139
_symmetry_space_group_name_Hall '-I 4 2'
loop_
_atom_site_label
_atom_site_type_symbol
_atom_site_fract_x
_atom_site_fract_y
_atom_site_fract_z
_atom_site_occupancy
Mn1 Mn 0.0000 0.0000 0.1081 1
Mn2 Mn 0.0000 0.5000 0.2500 1
Ir1 Ir 0.0000 0.0000 0.5000 1
# - Uncorrected energy: -8.726 eV/atom
# - V: 124.97 Å³/cell
# - ρ: 10.95 Mg/m³
# - Energy of formation: 1.9 eV/f.u.
# - N(E_F): 1.30 states/eV/atom